Compound: Mg6AlAg
Source: Alexandria
Functional: GGA-PBE
Structure: relaxed

```
Mg6AlAg
1.0
4.558 0.000 0.000
0.000 4.558 0.000
0.000 0.000 16.244
Mg Al Ag
12 2 2
Direct
0.000 0.000 0.249
0.000 0.000 0.751
0.000 0.500 0.112
0.000 0.500 0.388
0.000 0.500 0.612
0.000 0.500 0.888
0.500 0.000 0.112
0.500 0.000 0.388
0.500 0.000 0.612
0.500 0.000 0.888
0.500 0.500 0.251
0.500 0.500 0.749
0.000 0.000 0.000
0.500 0.500 0.500
0.000 0.000 0.500
0.500 0.500 0.000
```

**DFT formation energy**: -35 meV/atom
**Magnetic moment**: 0.00 μB per formula unit
**Raw total energy**: -32.88 eV/cell

=====

Compound: MgAl3Ag6
Source: Alexandria
Functional: GGA-PBE
Structure: relaxed

```
MgAl3Ag6
1.0
4.558 -2.780 0.000
4.558 2.780 0.000
-2.160 0.000 7.093
Mg Al Ag
1 3 6
Direct
0.000 0.000 0.000
0.104 0.104 0.679
0.500 0.500 0.500
0.896 0.896 0.321
0.099 0.599 0.694
0.339 0.339 0.073
0.401 0.901 0.306
0.599 0.099 0.694
0.661 0.661 0.927
0.901 0.401 0.306
```

**DFT formation energy**: 19 meV/atom
**Magnetic moment**: 0.00 μB per formula unit
**Raw total energy**: -29.74 eV/cell